A) TlCoWAu | GGA-PBE | relaxed

Cell: 6.4514 6.4514 6.4514 Å, 90.00 90.00 90.00°
With the nearest neighbours (Å) after each atom.
Positions (direct):
Tl  0.0000  0.0000  0.0000  4 Au 2.79, 4 Co 2.79
Tl  0.0000  0.5000  0.5000  4 Au 2.79, 4 Co 2.79
Tl  0.5000  0.0000  0.5000  4 Au 2.79, 4 Co 2.79
Tl  0.5000  0.5000  0.0000  4 Au 2.79, 4 Co 2.79
Co  0.2500  0.2500  0.2500  4 Tl 2.79, 4 W 2.79
Co  0.2500  0.7500  0.7500  4 Tl 2.79, 4 W 2.79
Co  0.7500  0.2500  0.7500  4 Tl 2.79, 4 W 2.79
Co  0.7500  0.7500  0.2500  4 Tl 2.79, 4 W 2.79
W  0.0000  0.0000  0.5000  4 Co 2.79, 4 Au 2.79
W  0.0000  0.5000  0.0000  4 Co 2.79, 4 Au 2.79
W  0.5000  0.0000  0.0000  4 Co 2.79, 4 Au 2.79
W  0.5000  0.5000  0.5000  4 Co 2.79, 4 Au 2.79
Au  0.2500  0.2500  0.7500  4 Tl 2.79, 4 W 2.79
Au  0.2500  0.7500  0.2500  4 W 2.79, 4 Tl 2.79
Au  0.7500  0.2500  0.2500  4 W 2.79, 4 Tl 2.79
Au  0.7500  0.7500  0.7500  4 W 2.79, 4 Tl 2.79

Output
SG = F-43m
volume = 268.5 Å³ per cell



B) TlCoWAu | GGA-PBE | relaxed

Cell: 6.4297 6.4297 6.4297 Å, 90.00 90.00 90.00°
With the nearest neighbours (Å) after each atom.
Positions (direct):
Tl  0.0000  0.0000  0.0000  4 W 2.78, 4 Co 2.78
Tl  0.0000  0.5000  0.5000  4 W 2.78, 4 Co 2.78
Tl  0.5000  0.0000  0.5000  4 W 2.78, 4 Co 2.78
Tl  0.5000  0.5000  0.0000  4 W 2.78, 4 Co 2.78
Co  0.2500  0.2500  0.2500  4 Tl 2.78, 4 Au 2.78
Co  0.2500  0.7500  0.7500  4 Tl 2.78, 4 Au 2.78
Co  0.7500  0.2500  0.7500  4 Tl 2.78, 4 Au 2.78
Co  0.7500  0.7500  0.2500  4 Tl 2.78, 4 Au 2.78
W  0.2500  0.2500  0.7500  4 Tl 2.78, 4 Au 2.78
W  0.2500  0.7500  0.2500  4 Tl 2.78, 4 Au 2.78
W  0.7500  0.2500  0.2500  4 Tl 2.78, 4 Au 2.78
W  0.7500  0.7500  0.7500  4 Tl 2.78, 4 Au 2.78
Au  0.0000  0.0000  0.5000  4 Co 2.78, 4 W 2.78
Au  0.0000  0.5000  0.0000  4 Co 2.78, 4 W 2.78
Au  0.5000  0.0000  0.0000  4 Co 2.78, 4 W 2.78
Au  0.5000  0.5000  0.5000  4 Co 2.78, 4 W 2.78

Output
SG = F-43m
volume = 265.8 Å³ per cell



Here are the energies relative to the best structure, in eV/atom: A) 0.000; B) 0.023.



A) ZrZnCoAu | GGA-PBE | relaxed

Cell: 6.3931 6.3931 6.3931 Å, 90.00 90.00 90.00°
With the nearest neighbours (Å) after each atom.
Positions (direct):
Zr  0.0000  0.0000  0.0000  4 Co 2.77, 4 Au 2.77
Zr  0.0000  0.5000  0.5000  4 Au 2.77, 4 Co 2.77
Zr  0.5000  0.0000  0.5000  4 Au 2.77, 4 Co 2.77
Zr  0.5000  0.5000  0.0000  4 Co 2.77, 4 Au 2.77
Zn  0.0000  0.0000  0.5000  4 Co 2.77, 4 Au 2.77
Zn  0.0000  0.5000  0.0000  4 Co 2.77, 4 Au 2.77
Zn  0.5000  0.0000  0.0000  4 Co 2.77, 4 Au 2.77
Zn  0.5000  0.5000  0.5000  4 Co 2.77, 4 Au 2.77
Co  0.2500  0.2500  0.7500  4 Zr 2.77, 4 Zn 2.77
Co  0.2500  0.7500  0.2500  4 Zr 2.77, 4 Zn 2.77
Co  0.7500  0.2500  0.2500  4 Zr 2.77, 4 Zn 2.77
Co  0.7500  0.7500  0.7500  4 Zr 2.77, 4 Zn 2.77
Au  0.2500  0.2500  0.2500  4 Zr 2.77, 4 Zn 2.77
Au  0.2500  0.7500  0.7500  4 Zr 2.77, 4 Zn 2.77
Au  0.7500  0.2500  0.7500  4 Zr 2.77, 4 Zn 2.77
Au  0.7500  0.7500  0.2500  4 Zr 2.77, 4 Zn 2.77

Output
SG = F-43m
volume = 261.3 Å³ per cell



B) ZrZnCoAu | GGA-PBE | relaxed

Cell: 6.4247 6.4247 6.4247 Å, 90.00 90.00 90.00°
With the nearest neighbours (Å) after each atom.
Positions (direct):
Zr  0.0000  0.0000  0.0000  4 Zn 2.78, 4 Au 2.78
Zr  0.0000  0.5000  0.5000  4 Zn 2.78, 4 Au 2.78
Zr  0.5000  0.0000  0.5000  4 Zn 2.78, 4 Au 2.78
Zr  0.5000  0.5000  0.0000  4 Zn 2.78, 4 Au 2.78
Zn  0.2500  0.2500  0.2500  4 Zr 2.78, 4 Co 2.78
Zn  0.2500  0.7500  0.7500  4 Zr 2.78, 4 Co 2.78
Zn  0.7500  0.2500  0.7500  4 Zr 2.78, 4 Co 2.78
Zn  0.7500  0.7500  0.2500  4 Zr 2.78, 4 Co 2.78
Co  0.0000  0.0000  0.5000  4 Zn 2.78, 4 Au 2.78
Co  0.0000  0.5000  0.0000  4 Zn 2.78, 4 Au 2.78
Co  0.5000  0.0000  0.0000  4 Zn 2.78, 4 Au 2.78
Co  0.5000  0.5000  0.5000  4 Zn 2.78, 4 Au 2.78
Au  0.2500  0.2500  0.7500  4 Zr 2.78, 4 Co 2.78
Au  0.2500  0.7500  0.2500  4 Zr 2.78, 4 Co 2.78
Au  0.7500  0.2500  0.2500  4 Zr 2.78, 4 Co 2.78
Au  0.7500  0.7500  0.7500  4 Co 2.78, 4 Zr 2.78

Output
SG = F-43m
volume = 265.2 Å³ per cell



Here are the energies relative to the best structure, in eV/atom: A) 0.000; B) 0.128.



A) CsCuAu | GGA-PBE | relaxed

Cell: 7.2486 7.2486 7.2486 Å, 90.00 90.00 90.00°
With the nearest neighbours (Å) after each atom.
Positions (direct):
Cs  0.0000  0.0000  0.0000  4 Cu 3.14
Cs  0.0000  0.5000  0.5000  4 Cu 3.14
Cs  0.5000  0.0000  0.5000  4 Cu 3.14
Cs  0.5000  0.5000  0.0000  4 Cu 3.14
Cu  0.2500  0.2500  0.7500  4 Cs 3.14, 4 Au 3.14
Cu  0.2500  0.7500  0.2500  4 Cs 3.14, 4 Au 3.14
Cu  0.7500  0.2500  0.2500  4 Cs 3.14, 4 Au 3.14
Cu  0.7500  0.7500  0.7500  4 Cs 3.14, 4 Au 3.14
Au  0.0000  0.0000  0.5000  4 Cu 3.14
Au  0.0000  0.5000  0.0000  4 Cu 3.14
Au  0.5000  0.0000  0.0000  4 Cu 3.14
Au  0.5000  0.5000  0.5000  4 Cu 3.14

Output
SG = F-43m
volume = 380.9 Å³ per cell



B) CsCuAu | GGA-PBE | relaxed

Cell: 8.0618 8.0618 8.0618 Å, 90.00 90.00 90.00°
With the nearest neighbours (Å) after each atom.
Positions (direct):
Cs  0.0000  0.0000  0.0000  4 Cu 3.49, 4 Au 3.49
Cs  0.0000  0.5000  0.5000  4 Cu 3.49, 4 Au 3.49
Cs  0.5000  0.0000  0.5000  4 Cu 3.49, 4 Au 3.49
Cs  0.5000  0.5000  0.0000  4 Cu 3.49, 4 Au 3.49
Cu  0.2500  0.2500  0.2500  4 Cs 3.49
Cu  0.2500  0.7500  0.7500  4 Cs 3.49
Cu  0.7500  0.2500  0.7500  4 Cs 3.49
Cu  0.7500  0.7500  0.2500  4 Cs 3.49
Au  0.2500  0.2500  0.7500  4 Cs 3.49
Au  0.2500  0.7500  0.2500  4 Cs 3.49
Au  0.7500  0.2500  0.2500  4 Cs 3.49
Au  0.7500  0.7500  0.7500  4 Cs 3.49

Output
SG = F-43m
volume = 524.0 Å³ per cell



Here are the energies relative to the best structure, in eV/atom: A) 0.000; B) 0.401.



A) Cs2K2Ge2Au7 | GGA-PBE | relaxed

Cell: 10.4286 10.4286 10.4286 Å, 37.27 37.27 37.27°
With the nearest neighbours (Å) after each atom.
Positions (direct):
Cs  0.1893  0.1893  0.1893  9 Au 3.65-3.86, 1 K 3.73, 3 Ge 3.91, 3 Cs 4.07
Cs  0.8107  0.8107  0.8107  9 Au 3.65-3.86, 1 K 3.73, 3 Ge 3.91, 3 Cs 4.07
K  0.3174  0.3174  0.3174  12 Au 3.49-3.88, 1 Cs 3.73
K  0.6826  0.6826  0.6826  12 Au 3.49-3.88, 1 Cs 3.73
Ge  0.4531  0.4531  0.4531  3 Au 2.51, 1 Ge 2.73
Ge  0.5469  0.5469  0.5469  3 Au 2.51, 1 Ge 2.73
Au  0.0000  0.0000  0.0000  6 Au 2.80
Au  0.2110  0.7783  0.7783  1 Ge 2.51, 1 Au 2.80
Au  0.2217  0.2217  0.7890  1 Ge 2.51, 1 Au 2.80
Au  0.2217  0.7890  0.2217  1 Ge 2.51, 1 Au 2.80
Au  0.7783  0.2110  0.7783  1 Ge 2.51, 1 Au 2.80
Au  0.7783  0.7783  0.2110  1 Ge 2.51, 1 Au 2.80
Au  0.7890  0.2217  0.2217  1 Ge 2.51, 1 Au 2.80

Output
SG = R-3m
volume = 372.9 Å³ per cell



B) Cs2K2Ge2Au7 | GGA-PBE | relaxed

Cell: 10.2398 10.2398 10.2398 Å, 38.44 38.44 38.44°
With the nearest neighbours (Å) after each atom.
Positions (direct):
Cs  0.1842  0.1842  0.1842  1 K 3.59, 12 Au 3.67-3.92, 1 Ge 3.94, 3 Cs 4.02
Cs  0.8158  0.8158  0.8158  1 K 3.59, 12 Au 3.67-3.92, 1 Ge 3.94, 3 Cs 4.02
K  0.3107  0.3107  0.3107  9 Au 3.41-3.79, 1 Cs 3.59
K  0.6893  0.6893  0.6893  9 Au 3.41-3.79, 1 Cs 3.59
Ge  0.0456  0.0456  0.0456  3 Au 2.49, 1 Ge 2.59
Ge  0.9544  0.9544  0.9544  3 Au 2.49, 1 Ge 2.59
Au  0.2764  0.2764  0.6951  1 Ge 2.49
Au  0.2764  0.6951  0.2764  1 Ge 2.49
Au  0.3049  0.7236  0.7236  1 Ge 2.49
Au  0.5000  0.5000  0.5000  6 Au 2.89
Au  0.6951  0.2764  0.2764  1 Ge 2.49
Au  0.7236  0.3049  0.7236  1 Ge 2.49
Au  0.7236  0.7236  0.3049  1 Ge 2.49

Output
SG = R-3m
volume = 372.8 Å³ per cell



Here are the energies relative to the best structure, in eV/atom: A) 0.000; B) 0.005.



A) CsGeAu3S4 | GGA-PBE | relaxed

Cell: 6.4260 6.4260 6.4260 Å, 90.00 90.00 90.00°
With the nearest neighbours (Å) after each atom.
Positions (direct):
Cs  0.0000  0.0000  0.0000  4 S 3.33
Ge  0.5000  0.5000  0.5000  4 S 2.23
Au  0.0000  0.5000  0.5000  4 S 2.65
Au  0.5000  0.0000  0.5000  4 S 2.65
Au  0.5000  0.5000  0.0000  4 S 2.65
S  0.2995  0.2995  0.2995  1 Ge 2.23
S  0.2995  0.7005  0.7005  1 Ge 2.23
S  0.7005  0.2995  0.7005  1 Ge 2.23
S  0.7005  0.7005  0.2995  1 Ge 2.23

Output
SG = P-43m
volume = 265.3 Å³ per cell



B) CsGeAu3S4 | GGA-PBE | relaxed

Cell: 6.1284 7.7125 10.8094 Å, 90.00 99.76 90.00°
With the nearest neighbours (Å) after each atom.
Positions (direct):
Cs  0.2022  0.2500  0.3487  7 S 3.63-4.03, 3 Au 3.72-3.98
Cs  0.7978  0.7500  0.6513  7 S 3.63-4.03, 3 Au 3.72-3.98
Ge  0.0965  0.2500  0.7835  4 S 2.23-2.32
Ge  0.9035  0.7500  0.2165  4 S 2.23-2.32
Au  0.3631  0.5630  0.0852  2 S 2.38-2.43
Au  0.3631  0.9370  0.0852  2 S 2.38-2.43
Au  0.4658  0.7500  0.3300  1 S 2.33
Au  0.5342  0.2500  0.6700  1 S 2.33
Au  0.6369  0.0630  0.9148  2 S 2.38-2.43
Au  0.6369  0.4370  0.9148  2 S 2.38-2.43
S  0.0430  0.7500  0.0298  1 Ge 2.32, 2 Au 2.43
S  0.1280  0.7500  0.4023  1 Ge 2.23, 1 Au 2.33
S  0.3019  0.0058  0.7738  1 Ge 2.28, 1 Au 2.38
S  0.3019  0.4942  0.7738  1 Ge 2.28, 1 Au 2.38
S  0.6981  0.5058  0.2262  1 Ge 2.28, 1 Au 2.38
S  0.6981  0.9942  0.2262  1 Ge 2.28, 1 Au 2.38
S  0.8720  0.2500  0.5977  1 Ge 2.23, 1 Au 2.33
S  0.9570  0.2500  0.9702  1 Ge 2.32, 2 Au 2.43

Output
SG = P2_1/m
volume = 503.5 Å³ per cell



Here are the energies relative to the best structure, in eV/atom: A) 0.143; B) 0.000.